1.
The following is a DFT calculation (GGA-PBE) of a relaxed structure of Tm5SiTe2.

The structure belongs to space group Cmcm (No. 63); the cell edges are 5.851, 12.081 and 13.413 Å and the angles 90.00°, 90.00° and 90.00°. Symmetry generates all atoms from Tm at (0.000, 0.054, 0.123), Tm at (0.000, 0.333, 0.750), Tm at (0.000, 0.385, 0.097), Si at (0.000, 0.231, 0.250) and Te at (0.000, 0.191, 0.563).

As for the total energy: -4.8409 eV/atom. For the magnetic moment, the calculation gives 0.001 μB/f.u. Its crystal system is orthorhombic.



2.
The following is a DFT calculation (GGA-PBE) of a relaxed structure of Tm3SiTe.

The structure belongs to space group C2/m (No. 12); the cell edges are 13.173, 4.043 and 10.453 Å and the angles 90.00°, 100.30° and 90.00°. Symmetry generates all atoms from Tm at (0.100, 0.000, 0.386), Tm at (0.105, 0.500, 0.750), Tm at (0.134, 0.500, 0.074), Si at (0.013, 0.000, 0.882) and Te at (0.243, 0.000, 0.654).

As for the total energy: -5.0810 eV/atom. For the magnetic moment, the calculation gives 0.000 μB/f.u. Its crystal system is monoclinic.



3.
The following is a DFT calculation (GGA-PBE) of a relaxed structure of Tm5Si2Te2.

The structure belongs to space group Cmce (No. 64); the cell edges are 15.003, 7.670 and 7.713 Å and the angles 90.00°, 90.00° and 90.00°. Symmetry generates all atoms from Tm at (0.000, 0.000, 0.000), Tm at (0.123, 0.163, 0.336), Si at (0.000, 0.136, 0.634) and Te at (0.206, 0.000, 0.000).

As for the total energy: -5.3465 eV/atom. For the magnetic moment, the calculation gives 0.001 μB/f.u. Its crystal system is orthorhombic.



4.
The following is a DFT calculation (GGA-PBE) of a relaxed structure of Tm5SiTe5.

The structure belongs to space group C2/m (No. 12); the cell edges are 13.528, 6.027 and 8.504 Å and the angles 90.00°, 108.71° and 90.00°. Symmetry generates all atoms from Tm at (0.000, 0.000, 0.000), Tm at (0.154, 0.500, 0.315), Tm at (0.155, 0.500, 0.842), Si at (0.000, 0.500, 0.000), Te at (0.000, 0.500, 0.500), Te at (0.164, 0.000, 0.825) and Te at (0.173, 0.000, 0.336).

As for the total energy: -5.2041 eV/atom. For the magnetic moment, the calculation gives 0.000 μB/f.u. Its crystal system is monoclinic.



5.
The following is a DFT calculation (GGA-PBE) of a relaxed structure of Tm7Si2Te2.

The structure belongs to space group C2/m (No. 12); the cell edges are 8.261, 11.682 and 7.580 Å and the angles 90.00°, 105.06° and 90.00°. Symmetry generates all atoms from Tm at (0.000, 0.000, 0.000), Tm at (0.082, 0.500, 0.803), Tm at (0.193, 0.269, 0.202), Si at (0.247, 0.000, 0.816) and Te at (0.000, 0.311, 0.500).

As for the total energy: -4.7470 eV/atom. For the magnetic moment, the calculation gives 0.001 μB/f.u. Its crystal system is monoclinic.



6.
The following is a DFT calculation (GGA-PBE) of a relaxed structure of Tm3SiTe2.

The structure belongs to space group C2/m (No. 12); the cell edges are 7.315, 12.670 and 7.404 Å and the angles 90.00°, 109.15° and 90.00°. Symmetry generates all atoms from Tm at (0.216, 0.000, 0.218), Tm at (0.246, 0.178, 0.775), Si at (0.000, 0.168, 0.000), Te at (0.000, 0.000, 0.500), Te at (0.000, 0.341, 0.500) and Te at (0.000, 0.500, 0.000).

As for the total energy: -5.3493 eV/atom. The value obtained for the offset from the most stable computed form is 0 kJ/mol of formula units. For the magnetic moment, the calculation gives 0.000 μB/f.u. Its crystal system is monoclinic.



7.
The following is a DFT calculation (GGA-PBE) of a relaxed structure of USiTe.

The structure belongs to space group I4/mmm (No. 139); the cell edges are 4.033, 4.033 and 17.371 Å and the angles 90.00°, 90.00° and 90.00°. Symmetry generates all atoms from U at (0.000, 0.000, 0.118), Si at (0.000, 0.500, 0.000) and Te at (0.000, 0.000, 0.316).

As for the total energy: -7.0676 eV/atom. For the magnetic moment, the calculation gives 1.683 μB/f.u. Its crystal system is tetragonal.



8.
The following is a DFT calculation (GGA-PBE) of a relaxed structure of USiTe3.

The structure belongs to space group Imma (No. 74); the cell edges are 6.080, 10.872 and 8.292 Å and the angles 90.00°, 90.00° and 90.00°. Symmetry generates all atoms from U at (0.000, 0.250, 0.058), Si at (0.250, 0.250, 0.750), Te at (0.000, 0.250, 0.461) and Te at (0.250, 0.014, 0.250).

As for the total energy: -5.2563 eV/atom. For the magnetic moment, the calculation gives 2.017 μB/f.u. Its crystal system is orthorhombic.



9.
The following is a DFT calculation (GGA-PBE) of a relaxed structure of V2SiTe.

The structure belongs to space group I-42d (No. 122); the cell edges are 5.428, 5.428 and 13.338 Å and the angles 90.00°, 90.00° and 90.00°. Symmetry generates all atoms from V at (0.206, 0.250, 0.125), Si at (0.000, 0.000, 0.000) and Te at (0.000, 0.000, 0.500).

As for the total energy: -6.1540 eV/atom. The value obtained for the offset from the most stable computed form is 164 kJ/mol of formula units. For the magnetic moment, the calculation gives 3.987 μB/f.u. Its crystal system is tetragonal.



10.
The following is a DFT calculation (GGA-PBE) of a relaxed structure of VSiTe3.

The structure belongs to space group Pm-3m (No. 221); the cell edges are 5.225, 5.225 and 5.225 Å and the angles 90.00°, 90.00° and 90.00°. Symmetry generates all atoms from V at (0.000, 0.000, 0.000), Si at (0.500, 0.500, 0.500) and Te at (0.000, 0.000, 0.500).

As for the total energy: -4.2390 eV/atom. For the magnetic moment, the calculation gives 1.956 μB/f.u. Its crystal system is cubic.



11.
The following is a DFT calculation (GGA-PBE) of a relaxed structure of VSiTe2.

The structure belongs to space group R-3m (No. 166, hexagonal axes); the cell edges are 3.4732, 3.4732 and 28.0290 Å and the angles 90.00°, 90.00° and 120.00°. Symmetry generates all atoms from V at (0.0000, 0.0000, 0.0000), Si at (0.0000, 0.0000, 0.5000) and Te at (0.0000, 0.0000, 0.3961).

As for the total energy: -4.9957 eV/atom. For the magnetic moment, the calculation gives 0.129 μB/f.u. Its crystal system is trigonal.



12.
The following is a DFT calculation (GGA-PBE) of a relaxed structure of VSiTe2.

The structure belongs to space group I-42d (No. 122); the cell edges are 6.296, 6.296 and 12.702 Å and the angles 90.00°, 90.00° and 90.00°. Symmetry generates all atoms from V at (0.000, 0.000, 0.000), Si at (0.000, 0.000, 0.500) and Te at (0.237, 0.250, 0.125).

As for the total energy: -4.8968 eV/atom. For the magnetic moment, the calculation gives 2.991 μB/f.u. Its crystal system is tetragonal.



The records above give, respectively, V values of 29.63; 27.38; 24.65; 29.85; 32.11; 27.01; 23.54; 27.41; 24.56; 28.53; 24.40; 31.47 Å³/atom.
The records above give, respectively, formation energy from raw total energies values of -0.583; -0.685; -0.959; -1.251; -0.344; -1.163; -0.450; -0.029; 0.546; 0.554; 0.211; 0.309 eV per atom.